First-principles (PBE) data for a relaxed structure of BaCoPb2, as listed in Alexandria via LeMat-Bulk.

a b c (Å): 5.4332 5.4332 5.4332
angles (deg): 60.00 60.00 60.00
Closest atoms and distances in Å follow each position.
Element x y z (fractional)
Pb 0.2500 0.2500 0.2500  4 Ba 3.33, 4 Co 3.33
Pb 0.7500 0.7500 0.7500  4 Co 3.33, 4 Ba 3.33
Co 0.0000 0.0000 0.0000  8 Pb 3.33
Ba 0.5000 0.5000 0.5000  8 Pb 3.33

Space group: Fm-3m, No. 225
Calculated formation energy: 1.25 eV/f.u.

First-principles (PBE) data for a relaxed structure of SrTeHN2, as listed in Alexandria via LeMat-Bulk.

a b c (Å): 4.5364 4.5364 3.6025
angles (deg): 90.00 90.00 90.00
Closest atoms and distances in Å follow each position.
Element x y z (fractional)
Sr 0.5000 0.5000 0.5000  8 N 2.90, 4 Te 3.21
Te 0.0000 0.0000 0.5000  2 H 1.80
H 0.0000 0.0000 0.0000  2 Te 1.80
N 0.0000 0.5000 0.0000  2 H 2.27
N 0.5000 0.0000 0.0000  2 H 2.27

Polymorph energy (0 for the lowest one): 0 meV per atom
Space group: P4/mmm, No. 123

First-principles (PBE) data for a relaxed structure of Pu3Ga2Rh6, as listed in Alexandria via LeMat-Bulk.

a b c (Å): 8.0096 8.0096 8.0096
angles (deg): 109.47 109.47 109.47
Closest atoms and distances in Å follow each position.
Element x y z (fractional)
Pu 0.7279 0.0000 0.7279  4 Rh 2.88
Pu 0.2721 0.0000 0.2721  4 Rh 2.88
Pu 0.0000 0.2721 0.2721  4 Rh 2.88
Pu 0.0000 0.7279 0.7279  4 Rh 2.88
Pu 0.2721 0.2721 0.0000  4 Rh 2.88
Pu 0.7279 0.7279 0.0000  4 Rh 2.88
Ga 0.0000 0.5000 0.0000  6 Rh 2.66
Ga 0.5000 0.0000 0.0000  6 Rh 2.66
Ga 0.0000 0.0000 0.5000  6 Rh 2.66
Ga 0.5000 0.5000 0.5000  6 Rh 2.66
Rh 0.6496 0.2991 0.6496  2 Ga 2.66, 6 Rh 2.70-2.77, 2 Pu 2.88
Rh 0.6496 0.0000 0.3504  2 Ga 2.66, 6 Rh 2.70-2.77, 2 Pu 2.88
Rh 0.3504 0.0000 0.6496  2 Ga 2.66, 6 Rh 2.70-2.77, 2 Pu 2.88
Rh 0.3504 0.7009 0.3504  2 Ga 2.66, 6 Rh 2.70-2.77, 2 Pu 2.88
Rh 0.0000 0.6496 0.3504  2 Ga 2.66, 6 Rh 2.70-2.77, 2 Pu 2.88
Rh 0.7009 0.3504 0.3504  2 Ga 2.66, 6 Rh 2.70-2.77, 2 Pu 2.88
Rh 0.2991 0.6496 0.6496  2 Ga 2.66, 6 Rh 2.70-2.77, 2 Pu 2.88
Rh 0.0000 0.3504 0.6496  2 Ga 2.66, 6 Rh 2.70-2.77, 2 Pu 2.88
Rh 0.3504 0.6496 0.0000  2 Ga 2.66, 6 Rh 2.70-2.77, 2 Pu 2.88
Rh 0.6496 0.6496 0.2991  2 Ga 2.66, 6 Rh 2.70-2.77, 2 Pu 2.88
Rh 0.3504 0.3504 0.7009  2 Ga 2.66, 6 Rh 2.70-2.77, 2 Pu 2.88
Rh 0.6496 0.3504 0.0000  2 Ga 2.66, 6 Rh 2.70-2.77, 2 Pu 2.88

Space group: Im-3m, No. 229
Calculated formation energy: -5.69 eV/f.u.

First-principles (PBE) data for a relaxed structure of Mg3HIr4, as listed in Alexandria via LeMat-Bulk.

a b c (Å): 4.8800 4.8791 4.8799
angles (deg): 80.58 99.42 80.59
Closest atoms and distances in Å follow each position.
Element x y z (fractional)
Mg 0.4985 0.4504 0.7085  1 H 2.30
Mg 0.3554 0.7463 0.1472  1 H 2.30
Mg 0.7942 0.8893 0.8514  1 H 2.30
H 0.7780 0.4671 0.1310  3 Ir 1.85
Ir 0.9457 0.5997 0.4378  1 H 1.85
Ir 0.0848 0.2992 0.9981  1 H 1.85
Ir 0.2034 0.0415 0.5563  6 Ir 2.73-2.76, 6 Mg 2.77-2.92, 1 H 2.95
Ir 0.6451 0.1601 0.2986  1 H 1.85

Polymorph energy (0 for the lowest one): 16 meV per atom
Space group: R3, No. 146

First-principles (PBE) data for a relaxed structure of ZnAs2F8, as listed in Alexandria via LeMat-Bulk.

a b c (Å): 4.9781 6.1620 6.1620
angles (deg): 77.16 98.09 98.09
Closest atoms and distances in Å follow each position.
Element x y z (fractional)
Zn 0.0000 0.0000 0.0000  2 F 1.85
As 0.5150 0.7179 0.7179  3 F 1.80-1.84
As 0.4850 0.2821 0.2821  3 F 1.80-1.84
F 0.2882 0.3300 0.0030  1 As 1.84
F 0.7118 0.9970 0.6700  1 As 1.84
F 0.2556 0.8826 0.8826  1 Zn 1.85
F 0.7444 0.1174 0.1174  1 Zn 1.85
F 0.2882 0.0030 0.3300  1 As 1.84
F 0.7118 0.6700 0.9970  1 As 1.84
F 0.7671 0.6048 0.6048  1 As 1.80
F 0.2329 0.3952 0.3952  1 As 1.80

ΔE_f (raw): -2.10 eV/atom
Polymorph energy (0 for the lowest one): 24 meV per atom
Space group: C2/m, No. 12

First-principles (PBE) data for a relaxed structure of BaCa2MgCu, as listed in Alexandria via LeMat-Bulk.

a b c (Å): 5.6939 5.6939 5.3520
angles (deg): 90.00 90.00 90.00
Closest atoms and distances in Å follow each position.
Element x y z (fractional)
Mg 0.0000 0.0000 0.5000  2 Cu 2.68
Ca 0.0000 0.5000 0.0000  2 Cu 2.85
Ca 0.5000 0.0000 0.0000  2 Cu 2.85
Ba 0.5000 0.5000 0.5000  8 Ca 3.91, 4 Mg 4.03
Cu 0.0000 0.0000 0.0000  2 Mg 2.68, 4 Ca 2.85

Polymorph energy (0 for the lowest one): 0 meV per atom
Space group: P4/mmm, No. 123
Calculated formation energy: -0.02 eV/f.u.

First-principles (PBE) data for a relaxed structure of TePdAuO2, as listed in Alexandria via LeMat-Bulk.

a b c (Å): 3.9451 6.1381 3.9451
angles (deg): 90.00 90.00 90.00
Closest atoms and distances in Å follow each position.
Element x y z (fractional)
Te 0.0000 0.5000 0.0000  4 Pd 2.79, 2 Au 3.07
Au 0.0000 0.0000 0.0000  4 O 1.97
O 0.0000 0.0000 0.5000  2 Au 1.97
O 0.5000 0.0000 0.0000  2 Au 1.97
Pd 0.5000 0.5000 0.5000  4 Te 2.79

ΔE_f (raw): 0.43 eV/atom
Space group: P4/mmm, No. 123

First-principles (PBE) data for a relaxed structure of YHoSnHg, as listed in Alexandria via LeMat-Bulk.

a b c (Å): 5.2780 5.2780 5.2780
angles (deg): 60.00 60.00 60.00
Closest atoms and distances in Å follow each position.
Element x y z (fractional)
Y 0.7500 0.7500 0.7500  4 Hg 3.23, 4 Sn 3.23
Hg 0.5000 0.5000 0.5000  4 Y 3.23, 4 Ho 3.23
Sn 0.0000 0.0000 0.0000  4 Ho 3.23, 4 Y 3.23
Ho 0.2500 0.2500 0.2500  4 Hg 3.23, 4 Sn 3.23

Polymorph energy (0 for the lowest one): 0 meV per atom
Space group: F-43m, No. 216
Calculated formation energy: -2.28 eV/f.u.

First-principles (PBE) data for a relaxed structure of Tc5Os, as listed in Alexandria via LeMat-Bulk.

a b c (Å): 2.7630 7.3112 4.3847
angles (deg): 90.00 90.00 79.11
Closest atoms and distances in Å follow each position.
Element x y z (fractional)
Os 0.0004 0.9991 0.0000  10 Tc 2.71-2.76, 2 Os 2.76
Tc 0.2228 0.5545 0.5000  12 Tc 2.71-2.78
Tc 0.3343 0.3314 0.0000  10 Tc 2.71-2.79, 2 Os 2.76
Tc 0.5549 0.8903 0.5000  4 Os 2.71, 8 Tc 2.71-2.78
Tc 0.6658 0.6684 0.0000  10 Tc 2.71-2.79, 2 Os 2.75
Tc 0.8885 0.2230 0.5000  10 Tc 2.71-2.76, 2 Os 2.72

Polymorph energy (0 for the lowest one): 0 meV per atom
Space group: Amm2, No. 38
Calculated formation energy: -0.17 eV/f.u.

First-principles (PBE) data for a relaxed structure of HfNpSb2, as listed in Alexandria via LeMat-Bulk.

a b c (Å): 3.2161 3.2161 11.3969
angles (deg): 81.89 81.89 60.00
Closest atoms and distances in Å follow each position.
Element x y z (fractional)
Np 0.5000 0.5000 0.5000  6 Np 3.22, 6 Sb 3.26
Sb 0.0871 0.0871 0.7386  1 Hf 2.94, 6 Sb 3.22, 3 Np 3.26
Sb 0.9129 0.9129 0.2614  1 Hf 2.94, 6 Sb 3.22, 3 Np 3.26
Hf 0.0000 0.0000 0.0000  2 Sb 2.94, 6 Hf 3.22

ΔE_f (raw): 0.21 eV/atom
Polymorph energy (0 for the lowest one): 441 meV per atom
Space group: R-3m, No. 166

First-principles (PBE) data for a relaxed structure of RbDyIrO6, as listed in Alexandria via LeMat-Bulk.

a b c (Å): 5.6416 5.6416 6.1826
angles (deg): 90.01 90.00 59.99
Closest atoms and distances in Å follow each position.
Element x y z (fractional)
Rb 0.0000 0.0000 0.0000  6 O 2.95
Dy 0.6666 0.6667 0.5000  6 O 2.25
Ir 0.3333 0.3333 0.5000  6 O 1.90
O 0.0463 0.3589 0.3234  1 Ir 1.90
O 0.3589 0.0463 0.6766  1 Ir 1.90
O 0.5948 0.3590 0.6766  1 Ir 1.90
O 0.0462 0.5949 0.6765  1 Ir 1.90
O 0.3589 0.5948 0.3234  1 Ir 1.90
O 0.5949 0.0462 0.3235  1 Ir 1.90

ΔE_f (raw): -1.46 eV/atom
Space group: P312, No. 149

First-principles (PBE) data for a relaxed structure of Li2La3Mg2Au4, as listed in Alexandria via LeMat-Bulk.

a b c (Å): 4.7203 4.7203 13.9504
angles (deg): 90.00 90.00 120.00
Closest atoms and distances in Å follow each position.
Element x y z (fractional)
Li 0.6667 0.3333 0.8651  3 Au 2.73
Li 0.3333 0.6667 0.1349  3 Au 2.73
La 0.0000 0.0000 0.7345  6 Au 3.11-3.34, 3 Li 3.28
La 0.0000 0.0000 0.0000  6 Au 3.25, 6 Li 3.31
La 0.0000 0.0000 0.2655  6 Au 3.11-3.34, 3 Li 3.28
Mg 0.6667 0.3333 0.4337  4 Au 2.71-2.86
Mg 0.3333 0.6667 0.5663  4 Au 2.71-2.86
Au 0.6667 0.3333 0.1273  3 Li 2.73
Au 0.3333 0.6667 0.8727  3 Li 2.73
Au 0.6667 0.3333 0.6277  4 Mg 2.71-2.86
Au 0.3333 0.6667 0.3723  4 Mg 2.71-2.86

Space group: P-3m1, No. 164
Calculated formation energy: -6.10 eV/f.u.

Q: Number 2 is which compound?
A: SrTeHN2

What did the fourth record say?
First-principles (PBE) data for a relaxed structure of Mg3HIr4, as listed in Alexandria via LeMat-Bulk.

a b c (Å): 4.8800 4.8791 4.8799
angles (deg): 80.58 99.42 80.59
Closest atoms and distances in Å follow each position.
Element x y z (fractional)
Mg 0.4985 0.4504 0.7085  1 H 2.30
Mg 0.3554 0.7463 0.1472  1 H 2.30
Mg 0.7942 0.8893 0.8514  1 H 2.30
H 0.7780 0.4671 0.1310  3 Ir 1.85
Ir 0.9457 0.5997 0.4378  1 H 1.85
Ir 0.0848 0.2992 0.9981  1 H 1.85
Ir 0.2034 0.0415 0.5563  6 Ir 2.73-2.76, 6 Mg 2.77-2.92, 1 H 2.95
Ir 0.6451 0.1601 0.2986  1 H 1.85

Polymorph energy (0 for the lowest one): 16 meV per atom
Space group: R3, No. 146